[1]
VASP calculation (PBE-GGA) on crystalline KBe2Pb at its relaxed geometry.

Lattice parameters (Å, degrees): 4.751 4.751 4.027 90.00 90.00 90.00
Element x y z (fractional)
Pb 0.000 0.500 0.500
Be 0.000 0.000 0.000
Be 0.500 0.500 0.000
K 0.500 0.000 0.500

Output
**Spin magnetization**: 0.00 μB/f.u.
**E**: -8.3 eV for the cell shown
**Theoretical density**: 4.8 g/cm3
**ΔE_f**: 4.0 eV/f.u.

[2]
VASP calculation (PBE-GGA) on crystalline Ac4SiHg2 at its relaxed geometry.

Lattice parameters (Å, degrees): 5.946 5.946 9.048 109.18 109.18 90.00
Element x y z (fractional)
Ac 0.810 0.810 0.621
Ac 0.190 0.190 0.379
Ac 0.000 0.500 0.000
Ac 0.500 0.000 0.000
Si 0.000 0.000 0.000
Hg 0.610 0.610 0.220
Hg 0.390 0.390 0.780

Output
**Spin magnetization**: 0.00 μB/f.u.
**E**: -23.9 eV for the cell shown
**Theoretical density**: 7.8 g/cm3

[3]
VASP calculation (PBE-GGA) on crystalline U3AlTl3Te8 at its relaxed geometry.

Lattice parameters (Å, degrees): 8.766 8.767 9.712 116.85 90.00 120.00
Site moments in Bohr magnetons follow the coordinates.
Element x y z (fractional)
U 0.500 0.000 0.500  2.52
U 0.500 0.500 0.500  2.52
U 0.000 0.500 0.500  2.52
Al 0.000 0.000 0.500  0.05
Tl 0.000 0.000 0.000  -0.01
Tl 0.000 0.500 0.000  -0.01
Tl 0.500 0.500 0.000  -0.01
Te 0.261 0.522 0.283  -0.06
Te 0.739 0.478 0.717  -0.06
Te 0.776 0.553 0.301  -0.06
Te 0.224 0.447 0.699  -0.06
Te 0.777 0.024 0.301  -0.06
Te 0.223 0.976 0.699  -0.06
Te 0.248 0.024 0.301  -0.06
Te 0.752 0.976 0.699  -0.06

Output
**Spin magnetization**: 7.80 μB/f.u.
**E**: -77.1 eV for the cell shown
**Theoretical density**: 7.2 g/cm3

[4]
VASP calculation (PBE-GGA) on crystalline TlSbSBr2 at its relaxed geometry.

Lattice parameters (Å, degrees): 5.758 5.758 5.091 90.00 90.00 90.00
Element x y z (fractional)
Sb 0.000 0.000 0.000
Tl 0.500 0.500 0.500
S 0.000 0.000 0.500
Br 0.000 0.500 0.000
Br 0.500 0.000 0.000

Output
**Spin magnetization**: 0.00 μB/f.u.
**E**: -16.0 eV for the cell shown
**Theoretical density**: 5.1 g/cm3

[5]
VASP calculation (PBE-GGA) on crystalline Mo2OsRh2 at its relaxed geometry.

Lattice parameters (Å, degrees): 7.397 7.397 2.794 90.00 90.00 90.00
Element x y z (fractional)
Rh 0.375 0.875 0.000
Rh 0.875 0.625 0.000
Rh 0.625 0.125 0.000
Rh 0.125 0.375 0.000
Mo 0.174 0.674 0.500
Mo 0.674 0.826 0.500
Mo 0.826 0.326 0.500
Mo 0.326 0.174 0.500
Os 0.000 0.000 0.000
Os 0.500 0.500 0.000

Output
**Spin magnetization**: 0.00 μB/f.u.
**E**: -93.2 eV for the cell shown
**Polymorph energy (0 for the lowest one)**: 244 meV per atom
**Theoretical density**: 12.8 g/cm3
**ΔE_f**: 1.0 eV/f.u.

[6]
VASP calculation (PBE-GGA) on crystalline ZnInCl2 at its relaxed geometry.

Lattice parameters (Å, degrees): 5.876 5.876 5.876 143.96 112.23 79.23
Element x y z (fractional)
Zn 0.244 0.744 0.500
Cl 0.063 0.063 0.000
Cl 0.710 0.210 0.500
In 0.482 0.482 0.000

Output
**Spin magnetization**: 0.00 μB/f.u.
**E**: -9.9 eV for the cell shown
**Polymorph energy (0 for the lowest one)**: 141 meV per atom
**Theoretical density**: 3.9 g/cm3

[7]
VASP calculation (PBE-GGA) on crystalline AcLuNi4 at its relaxed geometry.

Lattice parameters (Å, degrees): 5.177 5.177 5.177 60.00 60.00 60.00
Element x y z (fractional)
Ni 0.627 0.627 0.120
Ni 0.627 0.120 0.627
Ni 0.627 0.627 0.627
Ni 0.120 0.627 0.627
Ac 0.250 0.250 0.250
Lu 0.000 0.000 0.000

Output
**Spin magnetization**: 0.00 μB/f.u.
**E**: -33.6 eV for the cell shown
**Theoretical density**: 10.8 g/cm3
**ΔE_f**: -1.8 eV/f.u.

[8]
VASP calculation (PBE-GGA) on crystalline RbPd2O2 at its relaxed geometry.

Lattice parameters (Å, degrees): 7.741 7.741 3.775 90.00 90.00 90.00
Element x y z (fractional)
O 0.147 0.647 0.000
O 0.647 0.853 0.000
O 0.853 0.353 0.000
O 0.353 0.147 0.000
Rb 0.000 0.000 0.000
Rb 0.500 0.500 0.000
Pd 0.116 0.616 0.500
Pd 0.616 0.884 0.500
Pd 0.884 0.384 0.500
Pd 0.384 0.116 0.500

Output
**Spin magnetization**: 0.00 μB/f.u.
**E**: -46.6 eV for the cell shown
**Polymorph energy (0 for the lowest one)**: 140 meV per atom
**Theoretical density**: 4.8 g/cm3

[9]
VASP calculation (PBE-GGA) on crystalline Rb3TaO6 at its relaxed geometry.

Lattice parameters (Å, degrees): 6.839 6.839 10.927 90.00 90.00 120.00
Site moments in Bohr magnetons follow the coordinates.
Element x y z (fractional)
Rb 0.000 0.000 0.500  0.00
Rb 0.000 0.000 0.000  0.00
Rb 0.667 0.333 0.082  0.01
Rb 0.333 0.667 0.582  0.01
Rb 0.333 0.667 0.918  0.01
Rb 0.667 0.333 0.418  0.01
Ta 0.667 0.333 0.750  -0.17
Ta 0.333 0.667 0.250  -0.17
O 0.839 0.601 0.644  0.57
O 0.399 0.238 0.644  0.57
O 0.161 0.399 0.144  0.57
O 0.238 0.399 0.356  0.57
O 0.762 0.161 0.644  0.57
O 0.601 0.762 0.144  0.57
O 0.161 0.762 0.356  0.57
O 0.762 0.601 0.856  0.57
O 0.238 0.839 0.144  0.57
O 0.839 0.238 0.856  0.57
O 0.601 0.839 0.356  0.57
O 0.399 0.161 0.856  0.57

Output
**Spin magnetization**: 4.02 μB/f.u.
**E**: -117.5 eV for the cell shown
**Theoretical density**: 4.0 g/cm3

[10]
VASP calculation (PBE-GGA) on crystalline TbPr3ErTm at its relaxed geometry.

Lattice parameters (Å, degrees): 5.108 8.104 10.223 90.00 90.00 108.37
Element x y z (fractional)
Tb 0.000 0.000 0.500
Tb 0.000 0.000 0.000
Pr 0.665 0.330 0.499
Pr 0.335 0.670 0.501
Pr 0.335 0.670 0.999
Pr 0.665 0.330 0.001
Pr 0.166 0.332 0.750
Pr 0.834 0.668 0.250
Er 0.498 0.996 0.750
Er 0.502 0.004 0.250
Tm 0.836 0.671 0.750
Tm 0.164 0.329 0.250

Output
**Spin magnetization**: 0.00 μB/f.u.
**E**: -55.7 eV for the cell shown
**Theoretical density**: 7.6 g/cm3
**ΔE_f**: 0.1 eV/f.u.

[11]
VASP calculation (PBE-GGA) on crystalline ReAgPt at its relaxed geometry.

Lattice parameters (Å, degrees): 4.278 4.278 4.278 60.00 60.00 60.00
Element x y z (fractional)
Re 0.000 0.000 0.000
Ag 0.500 0.500 0.500
Pt 0.250 0.250 0.250

Output
**Spin magnetization**: 0.00 μB/f.u.
**E**: -19.1 eV for the cell shown
**Polymorph energy (0 for the lowest one)**: 802 meV per atom
**Theoretical density**: 14.7 g/cm3
**ΔE_f**: 2.3 eV/f.u.

[12]
VASP calculation (PBE-GGA) on crystalline CdSbMoI2 at its relaxed geometry.

Lattice parameters (Å, degrees): 5.650 5.650 5.319 90.00 90.00 90.00
Site moments in Bohr magnetons follow the coordinates.
Element x y z (fractional)
I 0.000 0.500 0.000  0.04
I 0.500 0.000 0.000  0.04
Sb 0.000 0.000 0.500  -0.14
Mo 0.000 0.000 0.000  1.73
Cd 0.500 0.500 0.500  -0.01

Output
**Spin magnetization**: 1.78 μB/f.u.
**E**: -16.8 eV for the cell shown
**Polymorph energy (0 for the lowest one)**: 0 meV per atom
**Theoretical density**: 5.7 g/cm3

[13]
VASP calculation (PBE-GGA) on crystalline K2BaTiBr8 at its relaxed geometry.

Lattice parameters (Å, degrees): 6.723 7.607 9.327 89.97 90.00 94.20
Element x y z (fractional)
K 0.500 0.500 0.761
K 0.500 0.500 0.239
Ba 0.000 0.000 0.500
Ti 0.000 0.000 0.000
Br 0.130 0.801 0.194
Br 0.677 0.815 0.000
Br 0.869 0.199 0.194
Br 0.870 0.199 0.806
Br 0.323 0.185 0.000
Br 0.131 0.801 0.806
Br 0.604 0.756 0.500
Br 0.396 0.244 0.500

Output
**Spin magnetization**: 0.00 μB/f.u.
**E**: -44.0 eV for the cell shown
**Theoretical density**: 3.2 g/cm3

[14]
VASP calculation (PBE-GGA) on crystalline TbSmGaIr at its relaxed geometry.

Lattice parameters (Å, degrees): 4.071 4.270 5.771 90.00 110.66 90.00
Element x y z (fractional)
Tb 0.862 0.500 0.724
Sm 0.144 0.000 0.288
Ga 0.568 0.500 0.135
Ir 0.426 0.000 0.853

Output
**Spin magnetization**: 0.00 μB/f.u.
**E**: -24.1 eV for the cell shown
**Polymorph energy (0 for the lowest one)**: 0 meV per atom
**Theoretical density**: 10.1 g/cm3
**ΔE_f**: -2.8 eV/f.u.

[15]
VASP calculation (PBE-GGA) on crystalline Ag2PW at its relaxed geometry.

Lattice parameters (Å, degrees): 6.046 6.046 6.046 151.85 140.34 49.34
Element x y z (fractional)
Ag 0.953 0.953 0.000
Ag 0.547 0.547 0.000
P 0.750 0.250 0.500
W 0.250 0.750 0.500

Output
**Spin magnetization**: 0.00 μB/f.u.
**E**: -22.3 eV for the cell shown
**Theoretical density**: 10.8 g/cm3
**ΔE_f**: 1.8 eV/f.u.

[16]
VASP calculation (PBE-GGA) on crystalline ErTiPd2 at its relaxed geometry.

Lattice parameters (Å, degrees): 4.473 4.473 5.185 64.45 64.45 60.00
Element x y z (fractional)
Ti 0.000 0.000 0.000
Pd 0.716 0.716 0.851
Pd 0.284 0.284 0.149
Er 0.500 0.500 0.500

Output
**Spin magnetization**: 0.00 μB/f.u.
**E**: -25.4 eV for the cell shown
**Polymorph energy (0 for the lowest one)**: 17 meV per atom
**Theoretical density**: 9.1 g/cm3
**ΔE_f**: -2.6 eV/f.u.

[17]
VASP calculation (PBE-GGA) on crystalline La2CrAg2 at its relaxed geometry.

Lattice parameters (Å, degrees): 5.917 5.917 5.784 59.24 59.24 90.00
Site moments in Bohr magnetons follow the coordinates.
Element x y z (fractional)
Cr 0.000 0.000 0.000  -0.76
Ag 0.337 0.337 0.325  0.03
Ag 0.663 0.663 0.675  0.03
La 0.750 0.250 0.500  0.06
La 0.250 0.750 0.500  0.06

Output
**Spin magnetization**: 0.51 μB/f.u.
**E**: -22.3 eV for the cell shown
**Polymorph energy (0 for the lowest one)**: 357 meV per atom
**Theoretical density**: 6.5 g/cm3
**ΔE_f**: 2.9 eV/f.u.

[18]
VASP calculation (PBE-GGA) on crystalline Ca14AcLa at its relaxed geometry.

Lattice parameters (Å, degrees): 7.812 7.812 11.049 90.00 90.00 90.00
Site moments in Bohr magnetons follow the coordinates.
Element x y z (fractional)
Ca 0.375 0.625 0.500  0.00
Ca 0.875 0.125 0.500  0.00
Ca 0.875 0.625 0.000  0.01
Ca 0.875 0.625 0.500  0.00
Ca 0.375 0.125 0.000  0.01
Ca 0.375 0.125 0.500  0.00
Ca 0.623 0.873 0.749  0.01
Ca 0.623 0.873 0.251  0.01
Ca 0.127 0.377 0.749  0.01
Ca 0.127 0.377 0.251  0.01
Ca 0.127 0.873 0.749  0.01
Ca 0.127 0.873 0.251  0.01
Ca 0.623 0.377 0.749  0.01
Ca 0.623 0.377 0.251  0.01
Ac 0.875 0.125 0.000  -0.07
La 0.375 0.625 0.000  0.24

Output
**Spin magnetization**: 0.83 μB/f.u.
**E**: -36.3 eV for the cell shown
**Theoretical density**: 2.3 g/cm3
**ΔE_f**: 0.8 eV/f.u.

[19]
VASP calculation (PBE-GGA) on crystalline TaBMoSe2 at its relaxed geometry.

Lattice parameters (Å, degrees): 4.969 5.089 4.969 90.00 90.00 90.00
Site moments in Bohr magnetons follow the coordinates.
Element x y z (fractional)
Mo 0.000 0.500 0.000  2.59
B 0.500 0.500 0.500  0.06
Se 0.000 0.000 0.500  0.08
Se 0.500 0.000 0.000  0.13
Ta 0.000 0.000 0.000  -0.22

Output
**Spin magnetization**: 3.32 μB/f.u.
**E**: -28.2 eV for the cell shown
**Theoretical density**: 5.9 g/cm3

[20]
VASP calculation (PBE-GGA) on crystalline CeZnCo at its relaxed geometry.

Lattice parameters (Å, degrees): 4.151 4.440 6.086 90.00 109.91 90.00
Element x y z (fractional)
Co 0.755 0.750 0.009
Co 0.245 0.250 0.991
Zn 0.626 0.250 0.752
Zn 0.374 0.750 0.248
Ce 0.905 0.250 0.309
Ce 0.095 0.750 0.691

Output
**Spin magnetization**: 0.00 μB/f.u.
**E**: -29.8 eV for the cell shown
**Theoretical density**: 8.3 g/cm3
**ΔE_f**: -0.6 eV/f.u.